## PuMn2AgO6 (PBE with a Hubbard U)

Data for PuMn2AgO6 after structural relaxation.

- space-group type = No. 1
- M_tot (μB per formula unit) = 7.0
- E (eV/f.u.) = -76.5

abc: 5.500 5.527 5.789
angles: 61.90 60.37 59.97
Fractional coordinates of all 10 atoms:
Pu (0.318, 0.317, 0.051)
Mn (0.022, 0.014, 0.957)
Mn (0.506, 0.524, 0.443)
O (0.170, 0.375, 0.743)
O (0.896, 0.588, 0.242)
O (0.716, 0.151, 0.767)
O (0.595, 0.278, 0.240)
O (0.380, 0.711, 0.737)
O (0.260, 0.899, 0.238)
Ag (0.800, 0.803, 0.598)